AcNdCoBr: optimized geometry, GGA-PBE. Values from VASP.

```
&SYSTEM
  ibrav = 0, nat = 4, ntyp = 4
/
ATOMIC_SPECIES
Ac 227.00 Ac.upf
Nd 144.24 Nd.upf
Co 58.93 Co.upf
Br 79.90 Br.upf
CELL_PARAMETERS angstrom
3.546 -2.046 0.000
3.546 2.046 0.000
-2.347 0.000 8.121
ATOMIC_POSITIONS crystal
Ac 0.000 0.000 0.000
Nd 0.206 0.206 0.620
Co 0.601 0.601 0.803
Br 0.779 0.779 0.336
```

Raw formation energy in meV per atom: -718
Total magnetization in μB/cell: 0.00
SG: Cm, No. 8